# BaAgHg3Pd

Crystalline BaAgHg3Pd at its relaxed geometry (PBE, Alexandria via LeMat-Bulk).

```
12
Lattice="4.283 -6.113 0.000 4.283 6.113 0.000 0.000 0.000 6.528" Properties=species:S:1:pos:R:3 pbc="T T T"
Ba 4.283 3.538 4.896
Ba 4.283 -3.538 1.632
Ag 4.283 5.109 1.632
Ag 4.283 -5.109 4.896
Hg 2.108 0.000 0.000
Hg 2.108 0.000 3.264
Hg 4.283 2.306 1.632
Hg 4.283 -2.306 4.896
Hg 6.458 0.000 0.000
Hg 6.458 0.000 3.264
Pd 4.283 0.424 4.896
Pd 4.283 -0.424 1.632
```

## Properties
Calculated volume ... 28.49 A^3/atom
Space-group type ... Cmcm (63)
N(E_F) ... 0.58 states/eV/atom

---

# BaAgHg2Pd

Crystalline BaAgHg2Pd at its relaxed geometry (PBE, Alexandria via LeMat-Bulk).

```
5
Lattice="-2.233 2.335 6.322 2.233 -2.335 6.322 2.233 2.335 -6.322" Properties=species:S:1:pos:R:3 pbc="T T T"
Ba 0.000 0.000 0.000
Ag 2.233 0.000 2.854
Hg 0.000 0.000 4.777
Hg 0.000 2.335 2.894
Pd 0.000 0.000 7.514
```

## Properties
Calculated volume ... 26.37 A^3/atom
Relative energy among the computed polymorphs ... 0 meV/atom
Space-group type ... Imm2 (44)
N(E_F) ... 0.56 states/eV/atom

---

# BaAgHg2Pd

Crystalline BaAgHg2Pd at its relaxed geometry (PBE, Alexandria via LeMat-Bulk).

```
5
Lattice="5.275 0.000 0.000 0.000 5.275 0.000 0.000 0.000 5.327" Properties=species:S:1:pos:R:3 pbc="T T T"
Ba 0.000 0.000 0.000
Ag 2.638 2.638 0.000
Hg 0.000 2.638 2.664
Hg 2.638 0.000 2.664
Pd 2.638 2.638 2.664
```

## Properties
Calculated volume ... 29.65 A^3/atom
Relative energy among the computed polymorphs ... 74 meV/atom
Space-group type ... P4/mmm (123)
N(E_F) ... 0.37 states/eV/atom

---

# Ba2AgHgPd

Crystalline Ba2AgHgPd at its relaxed geometry (PBE, Alexandria via LeMat-Bulk).

```
5
Lattice="6.089 0.000 0.000 0.000 6.089 0.000 0.000 0.000 5.179" Properties=species:S:1:pos:R:3 pbc="T T T"
Ba 0.000 3.044 0.000
Ba 3.044 0.000 0.000
Ag 0.000 0.000 2.589
Hg 3.044 3.044 2.589
Pd 0.000 0.000 0.000
```

## Properties
Calculated volume ... 38.40 A^3/atom
Relative energy among the computed polymorphs ... 5 meV/atom
Space-group type ... P4/mmm (123)
N(E_F) ... 0.56 states/eV/atom

---

# BaAg2HgPd

Crystalline BaAg2HgPd at its relaxed geometry (PBE, Alexandria via LeMat-Bulk).

```
5
Lattice="5.267 0.000 0.000 0.000 5.267 0.000 0.000 0.000 5.224" Properties=species:S:1:pos:R:3 pbc="T T T"
Ba 0.000 0.000 0.000
Ag 0.000 2.633 2.612
Ag 2.633 0.000 2.612
Hg 2.633 2.633 0.000
Pd 2.633 2.633 2.612
```

## Properties
Calculated volume ... 28.98 A^3/atom
Space-group type ... P4/mmm (123)
N(E_F) ... 0.36 states/eV/atom

---

# Ba2AgHgPd

Crystalline Ba2AgHgPd at its relaxed geometry (PBE, Alexandria via LeMat-Bulk).

```
5
Lattice="6.057 0.000 0.000 0.000 6.057 0.000 0.000 0.000 5.271" Properties=species:S:1:pos:R:3 pbc="T T T"
Ba 0.000 3.029 0.000
Ba 3.029 0.000 0.000
Ag 0.000 0.000 2.635
Hg 3.029 3.029 2.635
Pd 3.029 3.029 0.000
```

## Properties
Calculated volume ... 38.68 A^3/atom
Relative energy among the computed polymorphs ... 0 meV/atom
Space-group type ... P4/mmm (123)
N(E_F) ... 0.70 states/eV/atom

---

# Ba2AgHg2Pd5

Crystalline Ba2AgHg2Pd5 at its relaxed geometry (PBE, Alexandria via LeMat-Bulk).

```
20
Lattice="10.751 0.000 0.000 0.000 10.751 0.000 0.000 0.000 3.919" Properties=species:S:1:pos:R:3 pbc="T T T"
Ba 1.876 3.499 0.000
Ba 3.499 8.875 0.000
Ba 7.251 1.876 0.000
Ba 8.875 7.251 0.000
Ag 0.000 0.000 0.000
Ag 5.375 5.375 0.000
Hg 1.356 6.731 0.000
Hg 4.019 1.356 0.000
Hg 6.731 9.395 0.000
Hg 9.395 4.019 0.000
Pd 0.000 5.375 1.960
Pd 0.588 8.705 1.960
Pd 2.046 0.588 1.960
Pd 3.330 5.963 1.960
Pd 4.787 3.330 1.960
Pd 5.375 0.000 1.960
Pd 5.963 7.421 1.960
Pd 7.421 4.787 1.960
Pd 8.705 10.162 1.960
Pd 10.162 2.046 1.960
```

## Properties
Calculated volume ... 22.65 A^3/atom
Space-group type ... P4/mbm (127)
N(E_F) ... 0.42 states/eV/atom

---

# Ba2AgHg4Pd3

Crystalline Ba2AgHg4Pd3 at its relaxed geometry (PBE, Alexandria via LeMat-Bulk).

```
10
Lattice="4.877 0.000 0.000 0.000 4.877 0.000 0.000 0.000 10.979" Properties=species:S:1:pos:R:3 pbc="T T T"
Ba 0.000 2.439 2.707
Ba 2.439 0.000 8.272
Ag 2.439 2.439 0.000
Hg 0.000 0.000 5.490
Hg 0.000 2.439 9.569
Hg 2.439 0.000 1.410
Hg 2.439 2.439 5.490
Pd 0.000 0.000 0.000
Pd 0.000 2.439 6.860
Pd 2.439 0.000 4.119
```

## Properties
Calculated volume ... 26.12 A^3/atom
Space-group type ... P-4m2 (115)
N(E_F) ... 0.43 states/eV/atom

---

What did we get for DFT total energy? Answer: -2.016, -2.447, -2.373, -2.707, -2.767, -2.712, -3.586, -2.734 eV per atom, in the order shown.
What did we get for formation energy from the elements? Answer: -0.204, -0.333, -0.259, -0.269, -0.143, -0.273, -0.259, -0.385 eV/atom, in the order shown.